(1)
The following is a PBE-GGA calculation of a relaxed Ce2MnZnGe6 crystal, from the Alexandria database.

Energy relative to the elements (kJ/mol of atoms): -26.5
Density of states at the Fermi level (states/eV/cell): 22.4
Uncorrected energy (eV for the cell shown): -105.5
Size of the total moment (μB/f.u.): 2.36

Unit cell a=12.3220 b=12.3220 c=12.3220 alpha=29.26 beta=29.26 gamma=29.26
Fractional coordinates of all 20 atoms:
Ce: 0.1093 0.1093 0.1093
Ce: 0.2925 0.2925 0.2925
Ce: 0.7075 0.7075 0.7075
Ce: 0.8907 0.8907 0.8907
Mn: 0.0000 0.0000 0.0000
Mn: 0.5000 0.5000 0.5000
Zn: 0.4287 0.4287 0.4287
Zn: 0.5713 0.5713 0.5713
Ge: 0.0699 0.6668 0.6668
Ge: 0.2252 0.2252 0.6678
Ge: 0.2252 0.6678 0.2252
Ge: 0.3322 0.7748 0.7748
Ge: 0.3332 0.3332 0.9301
Ge: 0.3332 0.9301 0.3332
Ge: 0.6668 0.0699 0.6668
Ge: 0.6668 0.6668 0.0699
Ge: 0.6678 0.2252 0.2252
Ge: 0.7748 0.3322 0.7748
Ge: 0.7748 0.7748 0.3322
Ge: 0.9301 0.3332 0.3332

=====

(2)
The following is a PBE-GGA calculation of a relaxed LaBiN2O crystal, from the Alexandria database.

Density of states at the Fermi level (states/eV/cell): 1.7
Uncorrected energy (eV for the cell shown): -32.1
Raw formation energy (kJ per mole of atoms): -32.8
Size of the total moment (μB/f.u.): 0.00

Unit cell a=4.2930 b=4.2930 c=4.2865 alpha=90.00 beta=90.00 gamma=90.00
Fractional coordinates of all 5 atoms:
La: 0.0000 0.0000 0.0000
Bi: 0.5000 0.5000 0.5000
N: 0.0000 0.5000 0.5000
N: 0.5000 0.0000 0.5000
O: 0.5000 0.5000 0.0000

=====

> Among the records above, which one has the lowest density of states at the Fermi level?

LaBiN2O